Entry 1:
VASP calculation (PBE-GGA) on an optimized crystal structure of MgRhI.

Geometry as POSCAR:
```
MgRhI
1.0
-5.061 -2.108 2.029
-0.191 -5.641 -6.336
2.632 -3.444 2.987
Mg Rh I
4 4 4
direct
0.378 0.750 0.138 Mg
0.878 0.750 0.362 Mg
0.622 0.250 0.862 Mg
0.122 0.250 0.638 Mg
0.262 0.250 0.165 Rh
0.762 0.250 0.335 Rh
0.738 0.750 0.835 Rh
0.238 0.750 0.665 Rh
0.500 0.500 0.500 I
0.000 0.500 0.000 I
0.500 0.000 0.500 I
0.000 0.000 0.000 I
```

Output
**V**: 65.3 Å³/f.u.
**E_form (uncorrected)**: -5 meV/atom
**Energy above the lowest structure with this stoichiometry**: 406.5 meV/atom

Entry 2:
VASP calculation (PBE-GGA) on an optimized crystal structure of MgRhI.

Geometry as POSCAR:
```
MgRhI
1.0
-4.143 -1.879 6.030
0.978 -3.897 -0.542
6.968 1.038 5.110
Mg Rh I
4 4 4
direct
0.515 0.250 0.624 Mg
0.985 0.750 0.124 Mg
0.485 0.750 0.376 Mg
0.015 0.250 0.876 Mg
0.247 0.750 0.914 Rh
0.753 0.250 0.086 Rh
0.747 0.750 0.586 Rh
0.253 0.250 0.414 Rh
0.151 0.750 0.625 I
0.651 0.750 0.875 I
0.849 0.250 0.375 I
0.349 0.250 0.125 I
```

Output
**V**: 66.6 Å³/f.u.
**E_form (uncorrected)**: -61 meV/atom
**Energy above the lowest structure with this stoichiometry**: 350.8 meV/atom

Entry 3:
VASP calculation (PBE-GGA) on an optimized crystal structure of MgRhI.

Geometry as POSCAR:
```
MgRhI
1.0
-1.741 0.410 -3.836
-3.230 -3.510 -3.580
-9.734 -0.674 2.150
Rh I Mg
2 2 2
direct
0.515 0.860 0.768 Rh
0.581 0.336 0.792 Rh
0.082 0.659 0.969 I
0.246 0.795 0.332 I
0.952 0.533 0.595 Mg
0.923 0.048 0.580 Mg
```

Output
**V**: 78.6 Å³/f.u.
**E_form (uncorrected)**: -321 meV/atom
**Energy above the lowest structure with this stoichiometry**: 90.8 meV/atom

Entry 4:
VASP calculation (PBE-GGA) on an optimized crystal structure of Mg3RhI.

Geometry as POSCAR:
```
Mg3RhI
1.0
-3.599 -0.115 3.577
-3.429 -1.342 -3.493
1.025 -4.894 0.874
I Rh Mg
1 1 3
direct
0.500 0.500 0.500 I
0.000 0.000 0.000 Rh
0.000 0.500 0.000 Mg
0.500 0.000 0.000 Mg
0.000 0.000 0.500 Mg
```

Output
**V**: 130.8 Å³/f.u.
**E_form (uncorrected)**: -134 meV/atom
**Energy above the lowest structure with this stoichiometry**: 0.0 meV/atom

Copy entry 1 word for word.
VASP calculation (PBE-GGA) on an optimized crystal structure of MgRhI.

Geometry as POSCAR:
```
MgRhI
1.0
-5.061 -2.108 2.029
-0.191 -5.641 -6.336
2.632 -3.444 2.987
Mg Rh I
4 4 4
direct
0.378 0.750 0.138 Mg
0.878 0.750 0.362 Mg
0.622 0.250 0.862 Mg
0.122 0.250 0.638 Mg
0.262 0.250 0.165 Rh
0.762 0.250 0.335 Rh
0.738 0.750 0.835 Rh
0.238 0.750 0.665 Rh
0.500 0.500 0.500 I
0.000 0.500 0.000 I
0.500 0.000 0.500 I
0.000 0.000 0.000 I
```

Output
**V**: 65.3 Å³/f.u.
**E_form (uncorrected)**: -5 meV/atom
**Energy above the lowest structure with this stoichiometry**: 406.5 meV/atom